A geometry-optimized Ba2AlNCl structure, computed with PBE.

```
data_Ba2AlNCl
_chemical_formula_sum 'Ba2 Al1 N1 Cl1'
_cell_length_a 5.928
_cell_length_b 5.928
_cell_length_c 4.811
_cell_angle_alpha 90.00
_cell_angle_beta 90.00
_cell_angle_gamma 90.00
_symmetry_space_group_name_H-M 'P 4/m m m'
_symmetry_Int_Tables_number 123
_symmetry_space_group_name_Hall '-P 4 2'
loop_
_atom_site_label
_atom_site_fract_x
_atom_site_fract_y
_atom_site_fract_z
Ba1 0.000 0.500 0.000
Al1 0.000 0.000 0.500
N1 0.500 0.500 0.500
Cl1 0.000 0.000 0.000
```

Crystal system: tetragonal
Formation energy from raw total energies (eV/atom): 0.366
E_tot (eV/f.u.): -15.93
M_tot (μB/f.u.): 0.0